Y2TcAu | GGA-PBE | optimized geometry

Values from the calculation:
The value obtained for the formation enthalpy at 0 K is 1.79 eV per formula unit.

POSCAR file:
```
Y2TcAu
1.0
-2.274 2.274 9.388
2.274 -2.274 9.388
2.274 2.274 -9.388
Y Tc Au
4 2 2
Direct
0.113 0.625 0.988
0.375 0.363 0.488
0.637 0.125 0.012
0.875 0.887 0.512
0.000 0.000 0.000
0.750 0.250 0.500
0.250 0.750 0.500
0.500 0.500 0.000
```



LiNpUOs | GGA-PBE | optimized geometry

Values from the calculation:
The value obtained for the formation enthalpy at 0 K is 0.13 eV per formula unit.

POSCAR file:
```
LiNpUOs
1.0
0.000 3.240 3.240
3.240 0.000 3.240
3.240 3.240 0.000
Li Np U Os
1 1 1 1
Direct
0.000 0.000 0.000
0.250 0.250 0.250
0.500 0.500 0.500
0.750 0.750 0.750
```



HfAlAu | GGA-PBE | optimized geometry

Values from the calculation:
The value obtained for the formation enthalpy at 0 K is -0.45 eV per formula unit.

POSCAR file:
```
HfAlAu
1.0
2.461 1.421 2.802
-2.461 1.421 2.802
0.000 -2.842 2.802
Hf Al Au
1 1 1
Direct
0.000 0.000 0.000
0.649 0.649 0.649
0.341 0.341 0.341
```



Pm4Sm3TmSe8 | GGA-PBE | optimized geometry

Values from the calculation:
Its uncorrected formation energy is -1.801 eV/atom.

POSCAR file:
```
Pm4Sm3TmSe8
1.0
4.161 2.402 6.828
-4.161 2.402 6.828
0.000 -4.805 6.828
Pm Sm Tm Se
4 3 1 8
Direct
0.000 0.000 0.000
0.000 0.500 0.500
0.500 0.000 0.500
0.500 0.500 0.000
0.000 0.000 0.500
0.000 0.500 0.000
0.500 0.000 0.000
0.500 0.500 0.500
0.249 0.249 0.249
0.255 0.744 0.744
0.256 0.256 0.745
0.256 0.745 0.256
0.744 0.255 0.744
0.744 0.744 0.255
0.745 0.256 0.256
0.751 0.751 0.751
```



FeOs2Se | GGA-PBE | optimized geometry

Values from the calculation:
Its uncorrected formation energy is 0.544 eV/atom.

POSCAR file:
```
FeOs2Se
1.0
4.502 -1.437 0.000
4.502 1.437 0.000
-0.182 0.000 4.478
Fe Os Se
1 2 1
Direct
0.000 0.000 0.000
0.272 0.272 0.752
0.543 0.543 0.530
0.767 0.767 0.209
```



TbNdSc2In4 | GGA-PBE | optimized geometry

Values from the calculation:
The value obtained for the formation enthalpy at 0 K is -3.45 eV per formula unit.

POSCAR file:
```
TbNdSc2In4
1.0
2.615 1.510 8.561
-2.615 1.510 8.561
0.000 -3.019 8.561
Tb Nd Sc In
1 1 2 4
Direct
0.000 0.000 0.000
0.500 0.500 0.500
0.250 0.250 0.250
0.750 0.750 0.750
0.124 0.124 0.124
0.374 0.374 0.374
0.626 0.626 0.626
0.876 0.876 0.876
```



Repeat the first record exactly.
Y2TcAu | GGA-PBE | optimized geometry

Values from the calculation:
The value obtained for the formation enthalpy at 0 K is 1.79 eV per formula unit.

POSCAR file:
```
Y2TcAu
1.0
-2.274 2.274 9.388
2.274 -2.274 9.388
2.274 2.274 -9.388
Y Tc Au
4 2 2
Direct
0.113 0.625 0.988
0.375 0.363 0.488
0.637 0.125 0.012
0.875 0.887 0.512
0.000 0.000 0.000
0.750 0.250 0.500
0.250 0.750 0.500
0.500 0.500 0.000
```